Record 1
Material: Pu2GaSi4Ni3
Method: DFT, GGA-PBE
State: optimized geometry

a b c (Å): 3.9993 3.9993 9.7731
angles (deg): 90.00 90.00 90.00
Element x y z (fractional)
Pu 0.0000 0.5000 0.2420
Pu 0.5000 0.0000 0.7580
Ga 0.0000 0.0000 0.5000
Si 0.0000 0.0000 0.0000
Si 0.0000 0.5000 0.6487
Si 0.5000 0.0000 0.3513
Si 0.5000 0.5000 0.0000
Ni 0.0000 0.5000 0.8816
Ni 0.5000 0.0000 0.1184
Ni 0.5000 0.5000 0.5000

Results
Its volume is 156 Å³ per cell. For the formation energy from raw total energies, the calculation gives -5.9 eV/f.u. Its spin magnetization is 1.0139 μB per atom.

Record 2
Material: Dy6Ho3TmTh2
Method: DFT, GGA-PBE
State: optimized geometry

a b c (Å): 6.1323 6.1323 11.7430
angles (deg): 95.00 95.00 119.96
Element x y z (fractional)
Dy 0.0812 0.4170 0.7518
Dy 0.2468 0.2468 0.2486
Dy 0.4170 0.0812 0.7518
Dy 0.5830 0.9188 0.2482
Dy 0.7532 0.7532 0.7514
Dy 0.9188 0.5830 0.2482
Ho 0.0000 0.0000 0.5000
Ho 0.3335 0.6665 0.5000
Ho 0.6665 0.3335 0.5000
Tm 0.5000 0.5000 0.0000
Th 0.1665 0.8335 0.0000
Th 0.8335 0.1665 0.0000

Results
The formation energy from the elements comes out at 0.02 eV/atom. Its volume is 377 Å³ per cell. Its spin magnetization is 0.0000 μB per atom.

Record 3
Material: La3Ag5F12
Method: DFT, GGA-PBE
State: optimized geometry

a b c (Å): 12.2926 12.2926 12.2926
angles (deg): 109.47 109.47 109.47
Element x y z (fractional)
La 0.1250 0.2500 0.3750
La 0.1250 0.3750 0.7500
La 0.2500 0.3750 0.1250
La 0.2500 0.8750 0.6250
La 0.3750 0.1250 0.2500
La 0.3750 0.7500 0.1250
La 0.6250 0.2500 0.8750
La 0.6250 0.8750 0.7500
La 0.7500 0.1250 0.3750
La 0.7500 0.6250 0.8750
La 0.8750 0.6250 0.2500
La 0.8750 0.7500 0.6250
Ag 0.0000 0.0000 0.0000
Ag 0.0000 0.0000 0.5000
Ag 0.0000 0.5000 0.0000
Ag 0.0000 0.5000 0.5000
Ag 0.1250 0.7500 0.8750
Ag 0.1250 0.8750 0.2500
Ag 0.2500 0.1250 0.8750
Ag 0.2500 0.6250 0.3750
Ag 0.3750 0.2500 0.6250
Ag 0.3750 0.6250 0.7500
Ag 0.5000 0.0000 0.0000
Ag 0.5000 0.0000 0.5000
Ag 0.5000 0.5000 0.0000
Ag 0.5000 0.5000 0.5000
Ag 0.6250 0.3750 0.2500
Ag 0.6250 0.7500 0.3750
Ag 0.7500 0.3750 0.6250
Ag 0.7500 0.8750 0.1250
Ag 0.8750 0.1250 0.7500
Ag 0.8750 0.2500 0.1250
F 0.0711 0.2352 0.1422
F 0.0711 0.3359 0.9289
F 0.0711 0.6422 0.4070
F 0.0711 0.9289 0.6641
F 0.0930 0.7352 0.6641
F 0.0930 0.8578 0.4289
F 0.1422 0.0711 0.2352
F 0.1422 0.5711 0.9070
F 0.1641 0.2352 0.5930
F 0.1641 0.4289 0.5711
F 0.2352 0.1422 0.0711
F 0.2352 0.5930 0.1641
F 0.2648 0.3359 0.9070
F 0.2648 0.4289 0.3578
F 0.3359 0.9070 0.2648
F 0.3359 0.9289 0.0711
F 0.3578 0.2648 0.4289
F 0.3578 0.5930 0.9289
F 0.4070 0.0711 0.6422
F 0.4070 0.8359 0.7648
F 0.4289 0.0930 0.8578
F 0.4289 0.3578 0.2648
F 0.4289 0.5711 0.1641
F 0.4289 0.8359 0.5711
F 0.5711 0.1641 0.4289
F 0.5711 0.4289 0.8359
F 0.5711 0.6422 0.7352
F 0.5711 0.9070 0.1422
F 0.5930 0.1641 0.2352
F 0.5930 0.9289 0.3578
F 0.6422 0.4070 0.0711
F 0.6422 0.7352 0.5711
F 0.6641 0.0711 0.9289
F 0.6641 0.0930 0.7352
F 0.7352 0.5711 0.6422
F 0.7352 0.6641 0.0930
F 0.7648 0.4070 0.8359
F 0.7648 0.8578 0.9289
F 0.8359 0.5711 0.4289
F 0.8359 0.7648 0.4070
F 0.8578 0.4289 0.0930
F 0.8578 0.9289 0.7648
F 0.9070 0.1422 0.5711
F 0.9070 0.2648 0.3359
F 0.9289 0.0711 0.3359
F 0.9289 0.3578 0.5930
F 0.9289 0.6641 0.0711
F 0.9289 0.7648 0.8578

Results
Its volume is 1430 Å³ per cell. For the formation energy from raw total energies, the calculation gives -48.8 eV/f.u. Its spin magnetization is 0.0000 μB per atom.

Record 4
Material: Zr2TePd2
Method: DFT, GGA-PBE
State: optimized geometry

a b c (Å): 7.4218 7.4218 3.6785
angles (deg): 90.00 90.00 90.00
Element x y z (fractional)
Zr 0.1657 0.3343 0.0000
Zr 0.3343 0.8343 0.0000
Zr 0.6657 0.1657 0.0000
Zr 0.8343 0.6657 0.0000
Te 0.0000 0.0000 0.5000
Te 0.5000 0.5000 0.5000
Pd 0.1281 0.6281 0.5000
Pd 0.3719 0.1281 0.5000
Pd 0.6281 0.8719 0.5000
Pd 0.8719 0.3719 0.5000

Results
Its volume is 203 Å³ per cell. The calculation puts the relative energy among the computed polymorphs at 0.000 eV/atom. For the formation energy from raw total energies, the calculation gives -2.9 eV/f.u. Its spin magnetization is 0.0000 μB per atom.

Record 5
Material: Li5Zn2Pd4
Method: DFT, GGA-PBE
State: optimized geometry

a b c (Å): 7.0254 2.8109 8.5540
angles (deg): 90.00 93.81 90.00
Element x y z (fractional)
Li 0.0000 0.0000 0.0000
Li 0.0472 0.0000 0.3345
Li 0.3590 0.0000 0.8685
Li 0.6410 0.0000 0.1315
Li 0.9528 0.0000 0.6655
Zn 0.4193 0.0000 0.3606
Zn 0.5807 0.0000 0.6394
Pd 0.2590 0.5000 0.5824
Pd 0.2889 0.5000 0.1268
Pd 0.7111 0.5000 0.8732
Pd 0.7410 0.5000 0.4176

Results
The formation energy from the elements comes out at -0.41 eV/atom. Its volume is 169 Å³ per cell. The calculation puts the relative energy among the computed polymorphs at 0.000 eV/atom. Its spin magnetization is 0.0000 μB per atom.

Record 6
Material: LiSiOsPd
Method: DFT, GGA-PBE
State: optimized geometry

a b c (Å): 5.8574 5.8574 5.8574
angles (deg): 90.00 90.00 90.00
Element x y z (fractional)
Li 0.0000 0.0000 0.0000
Li 0.0000 0.5000 0.5000
Li 0.5000 0.0000 0.5000
Li 0.5000 0.5000 0.0000
Si 0.0000 0.0000 0.5000
Si 0.0000 0.5000 0.0000
Si 0.5000 0.0000 0.0000
Si 0.5000 0.5000 0.5000
Os 0.2500 0.2500 0.2500
Os 0.2500 0.7500 0.7500
Os 0.7500 0.2500 0.7500
Os 0.7500 0.7500 0.2500
Pd 0.2500 0.2500 0.7500
Pd 0.2500 0.7500 0.2500
Pd 0.7500 0.2500 0.2500
Pd 0.7500 0.7500 0.7500

Results
Its volume is 201 Å³ per cell. For the formation energy from raw total energies, the calculation gives -1.6 eV/f.u. Its spin magnetization is 0.0000 μB per atom.